NaTlPd (GGA-PBE, relaxed); V = 73 Å³/cell; space group = F-43m; total energy = -0.1004 hartree per atom
1.0
-2.668 -2.462 -2.959
-4.653 0.532 0.045
-2.146 2.153 -3.563
Na Tl Pd
1 1 1
Cartesian
0.000 0.000 0.000
-7.100 0.167 -4.858
-2.367 0.056 -1.619



NaTl6Pd6 (GGA-PBE, relaxed); V = 271 Å³/cell; space group = Immm; total energy = -0.1396 hartree per atom
1.0
0.628 -6.811 -2.926
6.554 -0.086 3.520
-7.102 0.009 2.215
Pd Tl Na
6 6 1
Cartesian
3.277 -0.043 1.760
0.040 -3.444 1.404
0.314 -3.406 -1.463
1.957 -5.166 0.117
-1.877 -1.723 2.691
-3.551 0.004 1.108
2.391 -2.297 0.198
-2.101 -2.207 -0.231
-0.847 -5.697 -0.158
0.927 -1.192 2.967
4.791 -4.601 0.396
-4.374 -4.596 -0.480
0.000 0.000 0.000



Na2Tl3Pd2 (GGA-PBE, relaxed); V = 169 Å³/cell; space group = C2/m; total energy = -0.1129 hartree per atom
1.0
-1.287 -5.634 -0.830
0.673 -4.916 3.077
-6.165 3.858 2.383
Pd Tl Na
2 3 2
Cartesian
-5.434 -6.153 3.856
-1.345 -0.539 0.774
-3.226 -4.893 2.517
-3.553 -1.799 2.113
-0.307 -5.275 1.124
-5.030 1.435 2.259
-1.749 -8.127 2.371



NaZrTlPd (GGA-PBE, relaxed); V = 83 Å³/cell; ΔE to the lowest computed polymorph = 0.169 eV per formula unit; space group = F-43m; total energy = -0.1630 hartree per atom
1.0
0.000 3.460 3.460
3.460 0.000 3.460
3.460 3.460 0.000
Zr Pd Tl Na
1 1 1 1
Cartesian
1.730 1.730 1.730
0.000 0.000 0.000
3.460 3.460 3.460
5.190 5.190 5.190



NaZrTlPd (GGA-PBE, relaxed); V = 78 Å³/cell; ΔE to the lowest computed polymorph = 0.000 eV per formula unit; space group = F-43m; total energy = -0.1645 hartree per atom
1.0
0.000 3.385 3.385
3.385 0.000 3.385
3.385 3.385 0.000
Tl Zr Pd Na
1 1 1 1
Cartesian
3.385 3.385 3.385
0.000 0.000 0.000
1.692 1.692 1.692
5.077 5.077 5.077



NaTmPd (GGA-PBE, relaxed); V = 75 Å³/cell; ΔE to the lowest computed polymorph = 0.000 eV per formula unit; space group = F-43m; total energy = -0.1438 hartree per atom
1.0
-3.521 -2.192 -2.276
-4.253 2.048 -0.310
-1.527 1.664 -4.157
Na Tm Pd
1 1 1
Cartesian
-2.325 0.380 -1.686
-6.976 1.140 -5.057
0.000 0.000 0.000



NaTmPd (GGA-PBE, relaxed); V = 76 Å³/cell; ΔE to the lowest computed polymorph = 1.123 eV per formula unit; space group = F-43m; total energy = -0.1300 hartree per atom
1.0
2.564 -3.988 0.405
0.511 -2.079 4.249
-2.166 -4.140 0.899
Na Pd Tm
1 1 1
Cartesian
0.227 -2.552 1.388
0.682 -7.655 4.164
0.000 0.000 0.000



NaUPd (GGA-PBE, relaxed); V = 77 Å³/cell; ΔE to the lowest computed polymorph = 0.000 eV per formula unit; space group = F-43m; total energy = -0.1985 hartree per atom
1.0
0.000 3.380 3.380
3.380 0.000 3.380
3.380 3.380 0.000
U Pd Na
1 1 1
Cartesian
0.000 0.000 0.000
1.690 1.690 1.690
3.380 3.380 3.380



Theoretical density per entry: 7.630; 11.582; 8.553; 8.520; 9.102; 6.616; 6.504; 7.897 g/cm³